The following is a PBE-GGA calculation of crystalline La7Sm12Dy at its relaxed geometry, from Alexandria via LeMat-Bulk.

abc: 9.9938 9.9938 9.9938
angles: 109.47 109.47 109.47
With the nearest neighbours (Å) after each atom.
Sites, in units of the cell vectors:
La 0.0000 0.5000 0.5000  12 Sm 4.07-4.13
La 0.0000 0.5000 0.0000  6 Sm 2.89
La 0.5000 0.0000 0.0000  6 Sm 2.89
La 0.5000 0.0000 0.5000  12 Sm 4.07-4.13
La 0.5000 0.5000 0.5000  6 Sm 2.89
La 0.0000 0.0000 0.5000  6 Sm 2.89
La 0.5000 0.5000 0.0000  12 Sm 4.07-4.13
Sm 0.2462 0.2474 0.4936  2 La 2.89
Sm 0.2474 0.4936 0.2462  2 La 2.89
Sm 0.0012 0.7538 0.2474  2 La 2.89
Sm 0.9988 0.2462 0.7526  2 La 2.89
Sm 0.4936 0.2462 0.2474  2 La 2.89
Sm 0.7538 0.7526 0.5064  2 La 2.89
Sm 0.7538 0.2474 0.0012  2 La 2.89
Sm 0.7526 0.5064 0.7538  2 La 2.89
Sm 0.7526 0.9988 0.2462  2 La 2.89
Sm 0.5064 0.7538 0.7526  2 La 2.89
Sm 0.2462 0.7526 0.9988  2 La 2.89
Sm 0.2474 0.0012 0.7538  2 La 2.89
Dy 0.0000 0.0000 0.0000  12 Sm 4.03

calculated density: 6.35 Mg/m³
crystal system: cubic
formation energy from the elements: 11.5 eV/f.u.
symmetry: Im-3 (204)